Entry 1:
An optimized crystal structure of Si2RuCl, computed with PBE-GGA.

Structure (POSCAR):
```
Si2RuCl
1.0
3.0921 0.0000 0.0000
0.0000 3.0921 0.0000
0.0000 0.0000 7.3933
Si Ru Cl
2 1 1
Direct
0.0000 0.0000 0.0000 Si
0.5000 0.5000 0.1936 Si
0.5000 0.5000 0.8502 Ru
0.0000 0.0000 0.6066 Cl
```

Calculated values
energy relative to the lowest polymorph listed for this composition: 233 meV/atom
formation energy without anion corrections: 0.089 eV/atom
total magnetic moment: 0.0 μB/f.u.
crystal system: tetragonal



Entry 2:
An optimized crystal structure of SiRuCl, computed with PBE-GGA.

Structure (POSCAR):
```
SiRuCl
1.0
3.0922 0.0000 0.0000
0.0000 5.3183 0.0000
0.0000 0.0000 11.7914
Si Ru Cl
4 4 4
Direct
0.0000 0.0000 0.0000 Si
0.0000 0.5000 0.5000 Si
0.5000 0.0000 0.5000 Si
0.5000 0.5000 0.0000 Si
0.0000 0.0000 0.6411 Ru
0.0000 0.5000 0.1411 Ru
0.5000 0.0000 0.1411 Ru
0.5000 0.5000 0.6411 Ru
0.0000 0.0000 0.3233 Cl
0.0000 0.5000 0.8233 Cl
0.5000 0.0000 0.8233 Cl
0.5000 0.5000 0.3233 Cl
```

Calculated values
energy relative to the lowest polymorph listed for this composition: 470 meV/atom
formation energy without anion corrections: 0.242 eV/atom
total magnetic moment: 0.0 μB/f.u.
crystal system: orthorhombic



Entry 3:
An optimized crystal structure of Si2RuCl, computed with PBE-GGA.

Structure (POSCAR):
```
Si2RuCl
1.0
5.7876 0.0000 0.0000
0.0000 5.7876 0.0000
0.0000 0.0000 11.0199
Si Ru Cl
8 4 4
Direct
0.1792 0.2500 0.1250 Si
0.2500 0.6792 0.3750 Si
0.2500 0.8208 0.8750 Si
0.3208 0.2500 0.6250 Si
0.6792 0.7500 0.6250 Si
0.7500 0.1792 0.8750 Si
0.7500 0.3208 0.3750 Si
0.8208 0.7500 0.1250 Si
0.0000 0.0000 0.0000 Ru
0.0000 0.5000 0.2500 Ru
0.5000 0.0000 0.7500 Ru
0.5000 0.5000 0.5000 Ru
0.0000 0.0000 0.5000 Cl
0.0000 0.5000 0.7500 Cl
0.5000 0.0000 0.2500 Cl
0.5000 0.5000 0.0000 Cl
```

Calculated values
energy relative to the lowest polymorph listed for this composition: 371 meV/atom
formation energy without anion corrections: 0.226 eV/atom
total magnetic moment: 0.0 μB/f.u.
crystal system: tetragonal



Entry 4:
An optimized crystal structure of Si2RuCl, computed with PBE-GGA.

Structure (POSCAR):
```
Si2RuCl
1.0
2.9109 0.0000 0.0000
0.0000 4.3399 0.0000
0.0000 0.0000 4.7050
Si Ru Cl
2 1 1
Direct
0.0000 0.0000 0.0000 Si
0.5000 0.5000 0.0000 Si
0.0000 0.5000 0.5000 Ru
0.5000 0.0000 0.5000 Cl
```

Calculated values
energy relative to the lowest polymorph listed for this composition: 720 meV/atom
formation energy without anion corrections: 0.576 eV/atom
total magnetic moment: 0.0 μB/f.u.
crystal system: orthorhombic



Entry 5:
An optimized crystal structure of Si2RuCl, computed with PBE-GGA.

Structure (POSCAR):
```
Si2RuCl
1.0
4.6795 0.0000 0.0000
0.0000 4.6795 0.0000
0.0000 0.0000 2.7856
Si Ru Cl
2 1 1
Direct
0.0000 0.5000 0.0000 Si
0.5000 0.0000 0.0000 Si
0.0000 0.0000 0.5000 Ru
0.5000 0.5000 0.5000 Cl
```

Calculated values
energy relative to the lowest polymorph listed for this composition: 526 meV/atom
formation energy without anion corrections: 0.382 eV/atom
total magnetic moment: 0.0 μB/f.u.
crystal system: tetragonal



Entry 6:
An optimized crystal structure of SiRuCl, computed with PBE-GGA.

Structure (POSCAR):
```
SiRuCl
1.0
4.1965 0.0000 0.0000
-2.0982 3.6343 0.0000
0.0000 0.0000 3.1276
Si Ru Cl
1 1 1
Direct
0.0000 0.0000 0.0000 Si
0.3333 0.6667 0.8075 Ru
0.6667 0.3333 0.5941 Cl
```

Calculated values
energy relative to the lowest polymorph listed for this composition: 627 meV/atom
formation energy without anion corrections: 0.398 eV/atom
total magnetic moment: 0.0 μB/f.u.
crystal system: trigonal



Entry 7:
An optimized crystal structure of Si2RuCl, computed with PBE-GGA.

Structure (POSCAR):
```
Si2RuCl
1.0
5.6088 0.0000 0.0000
0.0000 7.2589 0.0000
0.0000 0.0000 2.9204
Si Ru Cl
4 2 2
Direct
0.2500 0.2500 0.0000 Si
0.2500 0.7500 0.0000 Si
0.7500 0.2500 0.0000 Si
0.7500 0.7500 0.0000 Si
0.0000 0.0000 0.5000 Ru
0.5000 0.5000 0.5000 Ru
0.0000 0.5000 0.5000 Cl
0.5000 0.0000 0.5000 Cl
```

Calculated values
energy relative to the lowest polymorph listed for this composition: 594 meV/atom
formation energy without anion corrections: 0.450 eV/atom
total magnetic moment: 0.0 μB/f.u.
crystal system: orthorhombic



Entry 8:
An optimized crystal structure of SiRuCl, computed with PBE-GGA.

Structure (POSCAR):
```
SiRuCl
1.0
5.9299 0.0000 0.0000
0.0000 5.9299 0.0000
0.0000 0.0000 5.9299
Si Ru Cl
4 4 4
Direct
0.0000 0.0000 0.0000 Si
0.0000 0.5000 0.5000 Si
0.5000 0.0000 0.5000 Si
0.5000 0.5000 0.0000 Si
0.2500 0.2500 0.2500 Ru
0.2500 0.7500 0.7500 Ru
0.7500 0.2500 0.7500 Ru
0.7500 0.7500 0.2500 Ru
0.2500 0.2500 0.7500 Cl
0.2500 0.7500 0.2500 Cl
0.7500 0.2500 0.2500 Cl
0.7500 0.7500 0.7500 Cl
```

Calculated values
energy relative to the lowest polymorph listed for this composition: 1040 meV/atom
formation energy without anion corrections: 0.811 eV/atom
total magnetic moment: 0.5 μB/f.u.
crystal system: cubic



Entry 9:
An optimized crystal structure of Sm6SiRu2Cl3, computed with PBE-GGA.

Structure (POSCAR):
```
Sm6SiRu2Cl3
1.0
3.5451 -6.1539 0.0000
3.5451 6.1539 0.0000
-2.3708 0.0000 7.3589
Sm Si Ru Cl
6 1 2 3
Direct
0.0814 0.4319 0.7920 Sm
0.2192 0.2192 0.2088 Sm
0.4319 0.0814 0.7920 Sm
0.5681 0.9186 0.2080 Sm
0.7808 0.7808 0.7912 Sm
0.9186 0.5681 0.2080 Sm
0.5000 0.5000 0.0000 Si
0.1665 0.8335 0.0000 Ru
0.8335 0.1665 0.0000 Ru
0.0000 0.0000 0.5000 Cl
0.3356 0.6644 0.5000 Cl
0.6644 0.3356 0.5000 Cl
```

Calculated values
formation energy without anion corrections: -0.954 eV/atom
total magnetic moment: 0.0 μB/f.u.
crystal system: monoclinic



Entry 10:
An optimized crystal structure of SiSn2RuCl, computed with PBE-GGA.

Structure (POSCAR):
```
SiSn2RuCl
1.0
5.2513 0.0000 0.0000
0.0000 5.2513 0.0000
0.0000 0.0000 4.4828
Si Sn Ru Cl
1 2 1 1
Direct
0.0000 0.0000 0.0000 Si
0.0000 0.5000 0.0000 Sn
0.5000 0.0000 0.0000 Sn
0.5000 0.5000 0.5000 Ru
0.0000 0.0000 0.5000 Cl
```

Calculated values
formation energy without anion corrections: 0.916 eV/atom
total magnetic moment: 2.2 μB/f.u.
crystal system: tetragonal



Entry 11:
An optimized crystal structure of SmRuCl, computed with PBE-GGA.

Structure (POSCAR):
```
SmRuCl
1.0
2.0864 1.2046 10.7398
-2.0864 1.2046 10.7398
0.0000 -2.4092 10.7398
Sm Ru Cl
2 2 2
Direct
0.0636 0.0636 0.0636 Sm
0.9364 0.9364 0.9364 Sm
0.3367 0.3367 0.3367 Ru
0.6633 0.6633 0.6633 Ru
0.2186 0.2186 0.2186 Cl
0.7814 0.7814 0.7814 Cl
```

Calculated values
formation energy without anion corrections: -1.106 eV/atom
total magnetic moment: 0.0 μB/f.u.
crystal system: trigonal



Entry 12:
An optimized crystal structure of Sm5Ru2Cl2, computed with PBE-GGA.

Structure (POSCAR):
```
Sm5Ru2Cl2
1.0
7.7670 -3.9514 0.0000
7.7670 3.9514 0.0000
0.0000 0.0000 7.9407
Sm Ru Cl
10 4 4
Direct
0.0000 0.0000 0.0000 Sm
0.0400 0.7309 0.6513 Sm
0.2309 0.5400 0.1513 Sm
0.2691 0.9600 0.6513 Sm
0.4600 0.7691 0.1513 Sm
0.5000 0.5000 0.5000 Sm
0.5400 0.2309 0.8487 Sm
0.7309 0.0400 0.3487 Sm
0.7691 0.4600 0.8487 Sm
0.9600 0.2691 0.3487 Sm
0.1427 0.8573 0.3582 Ru
0.3573 0.6427 0.8582 Ru
0.6427 0.3573 0.1418 Ru
0.8573 0.1427 0.6418 Ru
0.2192 0.2192 0.0000 Cl
0.2808 0.2808 0.5000 Cl
0.7192 0.7192 0.5000 Cl
0.7808 0.7808 0.0000 Cl
```

Calculated values
formation energy without anion corrections: -0.758 eV/atom
total magnetic moment: 0.0 μB/f.u.
crystal system: orthorhombic



Q: Among the records above, which one has the highest formation energy without anion corrections?
A: SiSn2RuCl